This record from Alexandria via LeMat-Bulk describes an optimized crystal structure of TaMn3O. The functional is PBE with a Hubbard U.

Its calculated density is 7.69 g/cm³. The excess energy over the best structure of this formula in the dataset comes out at 0.000 eV/atom.

The space group is Pm-3m (No. 221) and the conventional cell measures 4.275, 4.275 and 4.275 Å, with angles of 90.00, 90.00 and 90.00 degrees. The distinct sites, in fractional coordinates, are Ta at (0.000, 0.000, 0.000), Mn at (0.000, 0.500, 0.500) and O at (0.500, 0.500, 0.500).